First-principles (PBE) data for a relaxed InAgN2 crystal, as listed in Alexandria.

Values from the calculation:
space group = I-42d
formation energy (no corrections) = 4.02 eV per formula unit
N(E_F) = 2.0 states/eV/f.u.

Cell and atoms, written as POSCAR:
```
InAgN2
1.0
-2.5079 2.5079 5.0544
2.5079 -2.5079 5.0544
2.5079 2.5079 -5.0544
In Ag N
2 2 4
Direct
0.0000 0.0000 0.0000 In
0.7500 0.2500 0.5000 In
0.2500 0.7500 0.5000 Ag
0.5000 0.5000 0.0000 Ag
0.1252 0.6250 0.0002 N
0.3750 0.3752 0.5002 N
0.6248 0.1250 0.9998 N
0.8750 0.8748 0.4998 N
```